# 1
Th2ZnPt | PBE-GGA | relaxed

The magnetic moment comes out at 0.0 μB/f.u. The formation energy comes out at -78 meV per atom. For the density of states at the Fermi level, the calculation gives 16.983 states/eV per cell.

The structure belongs to space group R-3m (No. 166, hexagonal axes); the cell edges are 4.0093, 4.0093 and 29.2754 Å and the angles 90.00°, 90.00° and 120.00°. Symmetry generates all atoms from Th at (0.0000, 0.0000, 0.1080), Zn at (0.0000, 0.0000, 0.0000) and Pt at (0.0000, 0.0000, 0.5000).



# 2
KCu3 | PBE-GGA | relaxed

The magnetic moment comes out at 0.0 μB/f.u. The formation energy comes out at 719 meV per atom. The value obtained for the distance to the lowest polymorph of the same formula is 2.15 eV per formula unit. For the density of states at the Fermi level, the calculation gives 2.053 states/eV per cell.

The structure belongs to space group I4/mmm (No. 139); the cell edges are 4.064, 4.064 and 8.614 Å and the angles 90.00°, 90.00° and 90.00°. Symmetry generates all atoms from K at (0.000, 0.000, 0.000), Cu at (0.000, 0.000, 0.500) and Cu at (0.000, 0.500, 0.250).



# 3
Tb2BeGa | PBE-GGA | relaxed

The magnetic moment comes out at 0.0 μB/f.u. The formation energy comes out at -232 meV per atom. The value obtained for the distance to the lowest polymorph of the same formula is 0.05 eV per formula unit. For the density of states at the Fermi level, the calculation gives 13.885 states/eV per cell.

The structure belongs to space group Fm-3m (No. 225); the cell edges are 7.028, 7.028 and 7.028 Å and the angles 90.00°, 90.00° and 90.00°. Symmetry generates all atoms from Tb at (0.250, 0.250, 0.250), Be at (0.000, 0.000, 0.000) and Ga at (0.000, 0.000, 0.500).



# 4
Ce2GaGe4Pt3 | PBE-GGA | relaxed

The magnetic moment comes out at 1.2 μB/f.u. The formation energy comes out at -816 meV per atom. For the density of states at the Fermi level, the calculation gives 12.559 states/eV per cell.

The structure belongs to space group P-4m2 (No. 115); the cell edges are 4.343, 4.343 and 10.300 Å and the angles 90.00°, 90.00° and 90.00°. Symmetry generates all atoms from Ce at (0.000, 0.500, 0.248), Ga at (0.000, 0.000, 0.500), Ge at (0.000, 0.000, 0.000), Ge at (0.000, 0.500, 0.638), Ge at (0.500, 0.500, 0.000), Pt at (0.000, 0.500, 0.876) and Pt at (0.500, 0.500, 0.500).



- Among the records above, which one has the highest magnetic moment?
  Ce2GaGe4Pt3



- Which value of magnetic moment does entry 3 give?
  0.0 μB/f.u.



- Which formula does entry 3 have?
  Tb2BeGa



- magnetic moment of number 4 (Ce2GaGe4Pt3)?
  1.2 μB/f.u.